1.
Below is a relaxed Tl3SbS crystal, with properties calculated at the PBE-GGA level.

Properties
ΔE_f (raw)	422	meV per atom
E above lowest polymorph	584.9	meV/atom
DOS(E_F)	2.0	states/eV/cell
calculated total energy	-2.647	eV/atom
magnetic moment	0.00	Bohr magnetons per cell

The structure in CIF format:
```
data_Tl3SbS
_cell_length_a 5.835
_cell_length_b 5.835
_cell_length_c 5.835
_cell_angle_alpha 90.00
_cell_angle_beta 90.00
_cell_angle_gamma 90.00
_symmetry_space_group_name_H-M 'P m -3 m'
_symmetry_Int_Tables_number 221
_symmetry_space_group_name_Hall '-P 4 2 3'
loop_
_atom_site_label
_atom_site_type_symbol
_atom_site_fract_x
_atom_site_fract_y
_atom_site_fract_z
Tl1 Tl 0.000 0.000 0.500
Sb1 Sb 0.000 0.000 0.000
S1 S 0.500 0.500 0.500
```



2.
Below is a relaxed TlSb2S crystal, with properties calculated at the PBE-GGA level.

Properties
ΔE_f (raw)	85	meV per atom
E above lowest polymorph	0.0	meV/atom
DOS(E_F)	7.2	states/eV/cell
calculated total energy	-3.600	eV/atom
magnetic moment	0.00	Bohr magnetons per cell

The structure in CIF format:
```
data_TlSb2S
_cell_length_a 5.202
_cell_length_b 5.202
_cell_length_c 19.116
_cell_angle_alpha 90.00
_cell_angle_beta 90.00
_cell_angle_gamma 90.00
_symmetry_space_group_name_H-M 'I -4 2 d'
_symmetry_Int_Tables_number 122
_symmetry_space_group_name_Hall 'I -4 2bw'
loop_
_atom_site_label
_atom_site_type_symbol
_atom_site_fract_x
_atom_site_fract_y
_atom_site_fract_z
Tl1 Tl 0.000 0.000 0.000
Sb1 Sb 0.137 0.250 0.625
S1 S 0.000 0.000 0.500
```